The following is a DFT calculation (PBE) of a relaxed Rb2AlGeO4 crystal.

Output
Energy relative to the elements, uncorrected   -1.80 eV/atom
Calculated volume   350.0 Å³/cell
DOS at the Fermi energy   1.56 states/eV/f.u.

extended XYZ file:
```
16
Lattice="0.0000 6.3421 10.6539 2.5902 0.0000 10.6539 2.5902 6.3421 0.0000" Properties=species:S:1:pos:R:3 pbc="T T T"
Rb 1.9426 4.7566 1.0310
Rb 3.2377 7.9276 6.3580
Rb 1.9426 4.7566 14.9498
Rb 3.2377 7.9276 20.2767
Al 0.6475 1.5855 2.6635
Al 4.5328 11.0986 18.6443
Ge 1.9426 4.7566 7.9904
Ge 3.2377 7.9276 13.3174
O 1.8643 2.5657 3.5598
O 3.3160 5.7367 8.8867
O 2.0209 6.9474 3.5598
O 2.0209 2.5657 12.4211
O 3.1594 10.1185 8.8867
O 3.1594 5.7367 17.7480
O 1.8643 6.9474 12.4211
O 3.3160 10.1185 17.7480
```

***

The following is a DFT calculation (PBE) of a relaxed AlGeSbO6 crystal.

Output
Energy relative to the elements, uncorrected   -1.79 eV/atom
Calculated volume   180.5 Å³/cell

extended XYZ file:
```
18
Lattice="4.9520 0.0000 0.0000 -2.4760 4.2885 0.0000 0.0000 0.0000 8.4974" Properties=species:S:1:pos:R:3 pbc="T T T"
Al 0.0000 2.8590 2.1243
Al 2.4760 1.4295 6.3730
Ge 0.0000 0.0000 0.0000
Ge 0.0000 0.0000 4.2487
Sb 0.0000 2.8590 6.3730
Sb 2.4760 1.4295 2.1243
O -0.7716 1.4546 1.0693
O -1.6021 2.8930 3.1794
O 0.7716 1.4546 3.1794
O -0.8305 4.2294 1.0693
O 1.6455 0.0591 5.3180
O 0.8739 1.3955 7.4281
O 1.6021 2.8930 1.0693
O 0.8305 4.2294 3.1794
O 3.3065 0.0591 7.4281
O 1.7044 2.8339 5.3180
O 4.0780 1.3955 5.3180
O 3.2475 2.8339 7.4281
```

***

The following is a DFT calculation (PBE) of a relaxed SmAlGe2O7 crystal.

Output
Energy relative to the elements, uncorrected   -2.42 eV/atom
Calculated volume   543.0 Å³/cell
DOS at the Fermi energy   0.00 states/eV/f.u.

extended XYZ file:
```
44
Lattice="7.2828 0.0000 0.0000 0.0000 6.5738 0.0000 -5.9691 0.0000 11.3423" Properties=species:S:1:pos:R:3 pbc="T T T"
Sm -1.0748 0.9712 5.3589
Sm -4.0594 2.3158 11.0300
Sm 5.3731 4.2581 0.3123
Sm 2.3886 5.6027 5.9834
Al -2.8070 0.6559 8.2672
Al 0.1775 2.6310 2.5961
Al 1.1362 3.9428 8.7462
Al 4.1208 5.9179 3.0750
Ge -1.1526 4.3275 5.1206
Ge -4.1371 5.5332 10.7917
Ge -2.0953 3.8679 8.1757
Ge 0.8893 5.9929 2.5046
Ge 0.4244 0.5810 8.8377
Ge 3.4090 2.7059 3.1666
Ge 5.4508 1.0406 0.5505
Ge 2.4663 2.2463 6.2216
O -5.4099 4.3193 10.3951
O -2.4253 5.5414 4.7239
O 0.0304 4.4981 2.1301
O -2.9541 5.3626 7.8012
O -3.6593 0.3454 9.8238
O -0.6748 2.9415 4.1527
O -0.0311 0.7789 3.1462
O -3.0156 2.5080 8.8173
O 1.3855 0.0027 0.8397
O -1.5990 3.2842 6.5108
O -2.8519 4.4175 11.0684
O 0.1326 5.4432 5.3973
O -1.0494 0.7819 7.8745
O 1.9352 2.5050 2.2033
O -0.6215 4.0689 9.1389
O 2.3631 5.7919 3.4678
O 1.1811 1.1306 5.9450
O 4.1656 2.1563 0.2739
O -0.0718 6.5711 10.5026
O 2.9127 3.2897 4.8314
O 4.3293 4.0658 2.5249
O 1.3448 5.7949 8.1961
O 1.9885 3.6323 7.1896
O 4.9730 6.2284 1.5185
O 4.2678 1.2112 3.5410
O 1.2833 2.0757 9.2122
O 3.7391 1.0324 6.6183
O 6.7236 2.2545 0.9472
```

***

The following is a DFT calculation (PBE) of a relaxed Sr3Al2GeO9 crystal.

Output
Energy relative to the elements, uncorrected   -2.49 eV/atom
Calculated volume   170.5 Å³/cell
DOS at the Fermi energy   8.98 states/eV/f.u.

extended XYZ file:
```
15
Lattice="5.4356 0.0000 0.0000 -2.7178 4.7074 0.0000 0.0000 0.0000 6.6623" Properties=species:S:1:pos:R:3 pbc="T T T"
Sr 0.0000 0.0000 0.0000
Sr 0.0000 3.1383 4.4498
Sr 2.7178 1.5691 2.2126
Al 0.0000 3.1383 1.0790
Al 2.7178 1.5691 5.5833
Ge 0.0000 0.0000 3.3312
O -1.3589 2.3537 0.0000
O 0.0000 1.5657 2.2246
O -1.3618 3.9245 2.2246
O 1.3560 0.7829 4.4378
O 2.7178 0.0000 0.0000
O 1.3589 2.3537 0.0000
O 1.3618 3.9245 2.2246
O 4.0797 0.7829 4.4378
O 2.7178 3.1417 4.4378
```

***

The following is a DFT calculation (PBE) of a relaxed Sr3AlGe2O8 crystal.

Output
Energy relative to the elements, uncorrected   -2.31 eV/atom
Calculated volume   193.6 Å³/cell
DOS at the Fermi energy   1.98 states/eV/f.u.

extended XYZ file:
```
14
Lattice="5.5821 0.0000 0.0000 -2.7911 4.8343 0.0000 0.0000 0.0000 7.1729" Properties=species:S:1:pos:R:3 pbc="T T T"
Sr 0.0000 0.0000 0.0000
Sr 0.0000 3.2228 4.6388
Sr 2.7911 1.6114 2.5341
Al 0.0000 0.0000 3.5864
Ge 0.0000 3.2228 1.5591
Ge 2.7911 1.6114 5.6138
O 0.0000 1.5675 2.3997
O -1.4335 4.0505 2.3997
O 1.3575 0.7838 4.7732
O 0.0000 3.2228 6.9751
O 2.7911 1.6114 0.1978
O 1.4335 4.0505 2.3997
O 4.2246 0.7838 4.7732
O 2.7911 3.2667 4.7732
```

***

The following is a DFT calculation (PBE) of a relaxed Sr2AlGeO6 crystal.

Output
Energy relative to the elements, uncorrected   -2.39 eV/atom
Calculated volume   240.2 Å³/cell
DOS at the Fermi energy   6.25 states/eV/f.u.

extended XYZ file:
```
20
Lattice="2.7534 1.5896 9.1454 -2.7534 1.5896 9.1454 0.0000 -3.1793 9.1454" Properties=species:S:1:pos:R:3 pbc="T T T"
Sr 0.0000 0.0000 3.5519
Sr 0.0000 0.0000 7.7976
Sr 0.0000 0.0000 19.6385
Sr 0.0000 0.0000 23.8842
Al 0.0000 0.0000 0.0000
Al 0.0000 0.0000 13.7181
Ge 0.0000 0.0000 11.1909
Ge 0.0000 0.0000 16.2452
O -1.2713 -0.7340 12.5126
O 0.0000 -1.6060 10.2437
O -1.3908 0.8030 10.2437
O -1.3908 -0.8030 17.1924
O 0.0000 -1.4679 14.9235
O -1.2713 0.7340 14.9235
O 1.2713 -0.7340 12.5126
O 0.0000 1.4679 12.5126
O 1.3908 0.8030 10.2437
O 1.3908 -0.8030 17.1924
O 0.0000 1.6059 17.1924
O 1.2713 0.7340 14.9235
```

***

The following is a DFT calculation (PBE) of a relaxed SrAlGe2O6 crystal.

Output
Energy relative to the elements, uncorrected   -2.16 eV/atom
Calculated volume   290.2 Å³/cell
DOS at the Fermi energy   1.40 states/eV/f.u.

extended XYZ file:
```
20
Lattice="5.5076 -4.6394 0.0000 5.5076 4.6394 0.0000 -3.4426 0.0000 5.6778" Properties=species:S:1:pos:R:3 pbc="T T T"
Sr 2.9256 2.9770 4.2583
Sr 4.6469 -2.9770 1.4194
Al 4.6469 2.8101 1.4194
Al 2.9256 -2.8101 4.2583
Ge 0.3985 0.5089 4.7770
Ge 2.1198 -0.5089 1.9381
Ge 5.4528 0.5089 3.7397
Ge 7.1741 -0.5089 0.9008
O -1.1696 0.8037 3.9224
O 0.9894 2.0039 5.5574
O 0.5517 -0.8037 1.0836
O 1.6129 0.6413 3.2811
O 4.8618 2.0039 2.9593
O 3.3342 -0.6413 0.4423
O 4.2384 0.6413 5.2355
O 2.7107 -2.0039 2.7185
O 5.9597 -0.6413 2.3966
O 7.0209 0.8037 4.5942
O 6.5831 -2.0039 0.1204
O 8.7422 -0.8037 1.7553
```

***

The following is a DFT calculation (PBE) of a relaxed TaAlGe2O8 crystal.

Output
Energy relative to the elements, uncorrected   -2.11 eV/atom
Calculated volume   129.4 Å³/cell
DOS at the Fermi energy   0.00 states/eV/f.u.

extended XYZ file:
```
12
Lattice="-3.1950 3.1950 3.1689 3.1950 -3.1950 3.1689 3.1950 3.1950 -3.1689" Properties=species:S:1:pos:R:3 pbc="T T T"
Ta 0.0000 0.0000 0.0000
Al 0.0000 3.1950 1.5845
Ge 3.1950 0.0000 1.5845
Ge 0.0000 0.0000 3.1689
O 1.9504 0.0000 0.3719
O 4.4397 0.0000 0.3719
O 3.1950 1.9427 -1.2698
O 3.1950 -1.2447 2.7970
O 0.0000 1.2524 1.8991
O 3.1950 1.2447 2.7970
O 1.9427 3.1950 1.2698
O 1.2524 0.0000 4.4387
```

***

The following is a DFT calculation (PBE) of a relaxed TiAlGe2O crystal.

Output
Energy relative to the elements, uncorrected   0.96 eV/atom
Calculated volume   104.8 Å³/cell
DOS at the Fermi energy   4.90 states/eV/f.u.

extended XYZ file:
```
5
Lattice="4.6161 0.0000 0.0000 0.0000 4.6161 0.0000 0.0000 0.0000 4.9204" Properties=species:S:1:pos:R:3 pbc="T T T"
Ti 0.0000 0.0000 0.0000
Al 0.0000 0.0000 2.4602
Ge 0.0000 2.3080 2.4602
Ge 2.3080 0.0000 2.4602
O 2.3080 2.3080 0.0000
```

***

The following is a DFT calculation (PBE) of a relaxed AlTl2GeO4 crystal.

Output
Energy relative to the elements, uncorrected   -1.45 eV/atom
Calculated volume   355.4 Å³/cell
DOS at the Fermi energy   1.07 states/eV/f.u.

extended XYZ file:
```
16
Lattice="0.0000 5.9051 11.7992 2.5504 0.0000 11.7992 2.5504 5.9051 0.0000" Properties=species:S:1:pos:R:3 pbc="T T T"
Al 0.6376 1.4763 2.9498
Al 4.4631 10.3339 20.6486
Tl 1.9128 4.4288 0.4080
Tl 3.1880 7.3814 6.3076
Tl 1.9128 4.4288 17.2908
Tl 3.1880 7.3814 23.1904
Ge 1.9128 4.4288 8.8494
Ge 3.1880 7.3814 14.7490
O 3.1882 3.5704 7.8943
O 3.1882 5.2873 9.8045
O 4.4634 6.5229 15.7041
O 4.4634 8.2398 13.7939
O 0.6373 3.5704 9.8045
O 0.6373 5.2873 7.8943
O 1.9125 6.5229 13.7939
O 1.9125 8.2398 15.7041
```

***

The following is a DFT calculation (PBE) of a relaxed AlTlGe2O6 crystal.

Output
Energy relative to the elements, uncorrected   -1.83 eV/atom
Calculated volume   315.0 Å³/cell
DOS at the Fermi energy   0.00 states/eV/f.u.

extended XYZ file:
```
20
Lattice="5.1053 -5.7160 0.0000 5.1053 5.7160 0.0000 -2.0332 0.0000 5.3980" Properties=species:S:1:pos:R:3 pbc="T T T"
Al 3.5805 3.1238 4.0485
Al 4.5970 -3.1238 1.3495
Tl 4.5970 1.6350 1.3495
Tl 3.5805 -1.6350 4.0485
Ge 1.0476 0.9541 3.3862
Ge 2.0642 -0.9541 0.6872
Ge 6.1133 0.9541 4.7107
Ge 7.1299 -0.9541 2.0118
O 3.5298 4.0682 2.5502
O 2.1180 2.1386 4.1056
O 5.6643 4.0682 0.1487
O 1.9439 0.2962 1.9628
O 0.9273 -0.2962 4.6617
O 5.0430 2.1386 3.9913
O 3.1345 -2.1386 1.4066
O 7.2502 0.2962 0.7362
O 6.2336 -0.2962 3.4352
O 2.5133 -4.0682 5.2492
O 6.0595 -2.1386 1.2924
O 4.6477 -4.0682 2.8477
```

***

The following is a DFT calculation (PBE) of a relaxed Al2TlGeO6 crystal.

Output
Energy relative to the elements, uncorrected   -2.04 eV/atom
Calculated volume   267.3 Å³/cell
DOS at the Fermi energy   3.82 states/eV/f.u.

extended XYZ file:
```
20
Lattice="4.4129 -5.5161 0.0000 4.4129 5.5161 0.0000 -2.5001 0.0000 5.4913" Properties=species:S:1:pos:R:3 pbc="T T T"
Al 0.7066 0.8068 0.8807
Al -0.5435 -0.8068 3.6264
Al 6.8691 0.8068 1.8649
Al 5.6191 -0.8068 4.6106
Tl 2.5378 1.1825 4.1185
Tl 3.7879 -1.1825 1.3728
Ge 3.7879 2.1941 1.3728
Ge 2.5378 -2.1941 4.1185
O -0.0951 0.5175 2.4915
O 1.1800 3.0091 5.3115
O -1.3451 -0.5175 5.2371
O 2.4459 1.0139 1.6317
O 3.8956 3.0091 2.9255
O 1.1959 -1.0139 4.3773
O 5.1298 1.0139 1.1140
O 2.4301 -3.0091 2.5659
O 3.8798 -1.0139 3.8596
O 7.6708 0.5175 0.2542
O 5.1457 -3.0091 0.1798
O 6.4208 -0.5175 2.9998
```

***

The following is a DFT calculation (PBE) of a relaxed UAlGeO6 crystal.

Output
Energy relative to the elements, uncorrected   -2.61 eV/atom
Calculated volume   201.2 Å³/cell
DOS at the Fermi energy   1.89 states/eV/f.u.

extended XYZ file:
```
18
Lattice="4.9522 0.0000 0.0000 -2.4761 4.2887 0.0000 0.0000 0.0000 9.4727" Properties=species:S:1:pos:R:3 pbc="T T T"
U 0.0000 0.0000 0.0000
U 0.0000 0.0000 4.7363
Al 0.0000 2.8592 2.3682
Al 2.4761 1.4296 7.1045
Ge 0.0000 2.8592 7.1045
Ge 2.4761 1.4296 2.3682
O 4.0736 1.5188 1.3123
O -0.8760 1.5203 6.0487
O 3.3521 2.7684 3.4240
O -1.5975 2.7700 8.1603
O 1.7546 0.0015 1.3123
O -0.7215 4.2872 6.0487
O 0.8786 1.5188 3.4240
O 0.8760 1.5203 8.1603
O 3.1976 0.0015 3.4240
O 0.7215 4.2872 8.1603
O 1.6001 2.7684 1.3123
O 1.5975 2.7700 6.0487
```